Entry from the Alexandria database: crystalline Pm2Be3Cu12Ag at its relaxed geometry (GGA-PBE).

The space group is R-3m (No. 166, hexagonal axes) and the conventional cell measures 7.4193, 7.4193 and 18.7812 Å, with angles of 90.00, 90.00 and 120.00 degrees. Symmetry generates all atoms from Pm at (0.0000, 0.0000, 0.1046), Be at (0.0000, 0.5000, 0.0000), Cu at (0.0359, 0.5179, 0.3567), Cu at (0.0360, 0.5180, 0.8850) and Ag at (0.0000, 0.0000, 0.5000).

The calculation puts the formation enthalpy at 0 K at 0.344 eV/atom. The value obtained for the total magnetic moment is 0.00 μB/cell.

Entry from the Alexandria database: crystalline BeCuAg2Pt at its relaxed geometry (GGA-PBE).

The space group is P4/mmm (No. 123) and the conventional cell measures 4.685, 4.685 and 3.971 Å, with angles of 90.00, 90.00 and 90.00 degrees. Symmetry generates all atoms from Be at (0.000, 0.000, 0.000), Cu at (0.000, 0.000, 0.500), Ag at (0.000, 0.500, 0.500) and Pt at (0.500, 0.500, 0.000).

The calculation puts the formation enthalpy at 0 K at 0.807 eV/atom. The value obtained for the total magnetic moment is 0.00 μB/cell.

Repeat the first record exactly.
Entry from the Alexandria database: crystalline Pm2Be3Cu12Ag at its relaxed geometry (GGA-PBE).

The space group is R-3m (No. 166, hexagonal axes) and the conventional cell measures 7.4193, 7.4193 and 18.7812 Å, with angles of 90.00, 90.00 and 120.00 degrees. Symmetry generates all atoms from Pm at (0.0000, 0.0000, 0.1046), Be at (0.0000, 0.5000, 0.0000), Cu at (0.0359, 0.5179, 0.3567), Cu at (0.0360, 0.5180, 0.8850) and Ag at (0.0000, 0.0000, 0.5000).

The calculation puts the formation enthalpy at 0 K at 0.344 eV/atom. The value obtained for the total magnetic moment is 0.00 μB/cell.

- total magnetic moment of number 1 (Pm2Be3Cu12Ag)?
  0.00 μB/cell

What did the first record say?
Entry from the Alexandria database: crystalline Pm2Be3Cu12Ag at its relaxed geometry (GGA-PBE).

The space group is R-3m (No. 166, hexagonal axes) and the conventional cell measures 7.4193, 7.4193 and 18.7812 Å, with angles of 90.00, 90.00 and 120.00 degrees. Symmetry generates all atoms from Pm at (0.0000, 0.0000, 0.1046), Be at (0.0000, 0.5000, 0.0000), Cu at (0.0359, 0.5179, 0.3567), Cu at (0.0360, 0.5180, 0.8850) and Ag at (0.0000, 0.0000, 0.5000).

The calculation puts the formation enthalpy at 0 K at 0.344 eV/atom. The value obtained for the total magnetic moment is 0.00 μB/cell.